No. 1
## CdCoSb2Au (PBE)

Data for a relaxed CdCoSb2Au crystal.

The uncorrected formation energy comes out at 260 meV/atom. For the raw total energy, the calculation gives -3.6485 eV per atom. The density of states at the Fermi level is 2.15 states/eV per cell.

The space group is P4/mmm (No. 123) and the conventional cell measures 4.808, 4.808 and 5.032 Å, with angles of 90.00, 90.00 and 90.00 degrees. The inequivalent atoms are Cd at (0.000, 0.000, 0.000), Co at (0.000, 0.000, 0.500), Sb at (0.000, 0.500, 0.500) and Au at (0.500, 0.500, 0.000).

---

No. 2
## VCdCoAu2 (PBE)

Data for a relaxed VCdCoAu2 crystal.

Its formation energy from the elements is 26.0 kcal/mol of atoms. For the raw total energy, the calculation gives -3.6124 eV per atom. The density of states at the Fermi level is 7.88 states/eV per cell.

The space group is P4/mmm (No. 123) and the conventional cell measures 4.751, 4.751 and 4.729 Å, with angles of 90.00, 90.00 and 90.00 degrees. The inequivalent atoms are V at (0.000, 0.000, 0.000), Cd at (0.500, 0.500, 0.000), Co at (0.500, 0.500, 0.500) and Au at (0.000, 0.500, 0.500).

---

No. 3
## CdCoW2Au (PBE)

Data for a relaxed CdCoW2Au crystal.

Its formation energy from the elements is 28.8 kcal/mol of atoms. For the raw total energy, the calculation gives -6.1929 eV per atom. The density of states at the Fermi level is 4.55 states/eV per cell.

The space group is P4/mmm (No. 123) and the conventional cell measures 4.448, 4.448 and 4.802 Å, with angles of 90.00, 90.00 and 90.00 degrees. The inequivalent atoms are Cd at (0.000, 0.000, 0.000), Co at (0.500, 0.500, 0.500), W at (0.000, 0.500, 0.500) and Au at (0.500, 0.500, 0.000).

---

No. 4
## ZrCdCoAu (PBE)

Data for a relaxed ZrCdCoAu crystal.

Its formation energy from the elements is -3.7 kcal/mol of atoms. For the raw total energy, the calculation gives -5.1232 eV per atom. The density of states at the Fermi level is 13.89 states/eV per cell.

The space group is F-43m (No. 216) and the conventional cell measures 6.581, 6.581 and 6.581 Å, with angles of 90.00, 90.00 and 90.00 degrees. The inequivalent atoms are Zr at (0.000, 0.000, 0.000), Cd at (0.000, 0.000, 0.500), Co at (0.250, 0.250, 0.750) and Au at (0.250, 0.250, 0.250).

---

No. 5
## CrCd2Au2 (PBE)

Data for a relaxed CrCd2Au2 crystal.

Its formation energy from the elements is 12.0 kcal/mol of atoms. For the raw total energy, the calculation gives -3.0797 eV per atom. The density of states at the Fermi level is 9.71 states/eV per cell.

The space group is P4/mbm (No. 127) and the conventional cell measures 8.025, 8.025 and 2.971 Å, with angles of 90.00, 90.00 and 90.00 degrees. The inequivalent atoms are Cr at (0.000, 0.000, 0.000), Cd at (0.131, 0.369, 0.000) and Au at (0.169, 0.669, 0.500).

---

No. 6
## Cr2CdAu (PBE)

Data for a relaxed Cr2CdAu crystal.

Its formation energy from the elements is 8.4 kcal/mol of atoms. For the raw total energy, the calculation gives -5.4959 eV per atom. The density of states at the Fermi level is 2.67 states/eV per cell.

The space group is P4/mmm (No. 123) and the conventional cell measures 4.637, 4.637 and 3.274 Å, with angles of 90.00, 90.00 and 90.00 degrees. The inequivalent atoms are Cr at (0.000, 0.500, 0.000), Cd at (0.000, 0.000, 0.500) and Au at (0.500, 0.500, 0.500).

---

No. 7
## Cr2CdAu (PBE)

Data for a relaxed Cr2CdAu crystal.

Its formation energy from the elements is 12.6 kcal/mol of atoms. For the raw total energy, the calculation gives -5.3126 eV per atom. The density of states at the Fermi level is 2.70 states/eV per cell.

The space group is P4/mmm (No. 123) and the conventional cell measures 3.597, 3.597 and 5.438 Å, with angles of 90.00, 90.00 and 90.00 degrees. The inequivalent atoms are Cr at (0.000, 0.000, 0.172), Cd at (0.500, 0.500, 0.500) and Au at (0.500, 0.500, 0.000).

---

No. 8
## CrCdAu3 (PBE)

Data for a relaxed CrCdAu3 crystal.

Its formation energy from the elements is 15.9 kcal/mol of atoms. For the raw total energy, the calculation gives -3.3853 eV per atom. The density of states at the Fermi level is 3.86 states/eV per cell.

The space group is Pm-3m (No. 221) and the conventional cell measures 4.975, 4.975 and 4.975 Å, with angles of 90.00, 90.00 and 90.00 degrees. The inequivalent atoms are Cr at (0.000, 0.000, 0.000), Cd at (0.500, 0.500, 0.500) and Au at (0.000, 0.000, 0.500).

---

No. 9
## Cr4CdAu (PBE)

Data for a relaxed Cr4CdAu crystal.

Its formation energy from the elements is 10.0 kcal/mol of atoms. For the raw total energy, the calculation gives -6.6824 eV per atom. The density of states at the Fermi level is 30.44 states/eV per cell.

The space group is F-43m (No. 216) and the conventional cell measures 6.957, 6.957 and 6.957 Å, with angles of 90.00, 90.00 and 90.00 degrees. The inequivalent atoms are Cr at (0.122, 0.122, 0.378), Cd at (0.250, 0.250, 0.750) and Au at (0.000, 0.000, 0.000).

---

No. 10
## Cr2CdAu (PBE)

Data for a relaxed Cr2CdAu crystal.

Its formation energy from the elements is 12.9 kcal/mol of atoms. For the raw total energy, the calculation gives -5.3017 eV per atom. The density of states at the Fermi level is 7.04 states/eV per cell.

The space group is I4/mmm (No. 139) and the conventional cell measures 3.799, 3.799 and 8.493 Å, with angles of 90.00, 90.00 and 90.00 degrees. The inequivalent atoms are Cr at (0.000, 0.500, 0.250), Cd at (0.000, 0.000, 0.000) and Au at (0.000, 0.000, 0.500).

---

No. 11
## Cr2CdAu (PBE)

Data for a relaxed Cr2CdAu crystal.

Its formation energy from the elements is 13.9 kcal/mol of atoms. For the raw total energy, the calculation gives -5.2588 eV per atom. The density of states at the Fermi level is 2.83 states/eV per cell.

The space group is P4/mmm (No. 123) and the conventional cell measures 2.690, 2.690 and 8.479 Å, with angles of 90.00, 90.00 and 90.00 degrees. The inequivalent atoms are Cr at (0.000, 0.000, 0.242), Cd at (0.500, 0.500, 0.500) and Au at (0.500, 0.500, 0.000).

---

No. 12
## Cr2CdAu (PBE)

Data for a relaxed Cr2CdAu crystal.

Its formation energy from the elements is 10.6 kcal/mol of atoms. For the raw total energy, the calculation gives -5.3981 eV per atom. The density of states at the Fermi level is 5.65 states/eV per cell.

The space group is C2/m (No. 12) and the conventional cell measures 9.855, 2.963 and 4.797 Å, with angles of 90.00, 106.45 and 90.00 degrees. The inequivalent atoms are Cr at (0.245, 0.000, 0.156), Cd at (0.000, 0.000, 0.500) and Au at (0.000, 0.500, 0.000).

---

Question: Look up the raw total energy of the first one.
Answer: -3.6485 eV per atom

---

Question: raw total energy of number 6 (Cr2CdAu)?
Answer: -5.4959 eV per atom

---

Question: What is the raw total energy in the twelfth record?
Answer: -5.3981 eV per atom

---

Question: Number 9 is which compound?
Answer: Cr4CdAu